1.
Co2HgAu3 | OQMD via LeMat-Bulk | PBE-GGA | relaxed; calculated density = 13.8 g/cm³
1.0
2.6960 -4.6703 0.0000
2.6960 4.6703 0.0000
0.0000 0.0000 4.3496
Au Co Hg
3 2 1
direct
0.5000 0.0000 0.5000
0.0000 0.5000 0.5000
0.5000 0.5000 0.5000
0.6666 0.3334 0.0000
0.3334 0.6666 0.0000
0.0000 0.0000 0.0000

=====

2.
Co2HgAu | OQMD via LeMat-Bulk | PBE-GGA | relaxed; calculated density = 13.8 g/cm³
1.0
3.2180 -3.0683 0.0160
2.1756 -0.9203 3.7670
-0.6498 -3.8926 2.0484
Au Co Hg
1 2 1
direct
0.5000 0.5000 0.5000
0.0000 0.0000 0.0000
0.2500 0.2500 0.2500
0.7500 0.7500 0.7500

=====

3.
CoHgMoAu | OQMD via LeMat-Bulk | PBE-GGA | relaxed; calculated density = 13.9 g/cm³
1.0
0.3705 -3.3841 -2.9907
-3.5325 -2.7278 -0.7839
-2.1995 0.2212 -3.9557
Au Co Hg Mo
1 1 1 1
direct
0.7500 0.7500 0.7500
0.2500 0.2500 0.2500
0.5000 0.5000 0.5000
0.0000 0.0000 0.0000

=====

4.
CoHgMoAu | OQMD via LeMat-Bulk | PBE-GGA | relaxed; calculated density = 14.0 g/cm³
1.0
-4.0587 -1.9746 -0.3412
-3.3159 1.1326 2.8653
-3.5562 2.3773 -1.4799
Au Co Hg Mo
1 1 1 1
direct
0.7500 0.7500 0.7500
0.5000 0.5000 0.5000
0.2500 0.2500 0.2500
0.0000 0.0000 0.0000

=====

5.
CoSnHgAu | OQMD via LeMat-Bulk | PBE-GGA | relaxed; calculated density = 12.8 g/cm³
1.0
0.0000 3.3423 3.3423
3.3423 0.0000 3.3423
3.3423 3.3423 0.0000
Au Co Hg Sn
1 1 1 1
direct
0.2500 0.2500 0.2500
0.7500 0.7500 0.7500
0.5000 0.5000 0.5000
0.0000 0.0000 0.0000

=====

6.
CoHgTeAu | OQMD via LeMat-Bulk | PBE-GGA | relaxed; calculated density = 12.2 g/cm³
1.0
0.0000 3.4136 3.4136
3.4136 0.0000 3.4136
3.4136 3.4136 0.0000
Au Co Hg Te
1 1 1 1
direct
0.7500 0.7500 0.7500
0.2500 0.2500 0.2500
0.0000 0.0000 0.0000
0.5000 0.5000 0.5000

=====

7.
TlCoHgAu | OQMD via LeMat-Bulk | PBE-GGA | relaxed; calculated density = 14.6 g/cm³
1.0
-1.3726 1.7987 4.1630
-0.9553 4.6250 0.3831
-4.4701 1.4545 0.5941
Au Co Hg Tl
1 1 1 1
direct
0.2500 0.2500 0.2500
0.7500 0.7500 0.7500
0.5000 0.5000 0.5000
0.0000 0.0000 0.0000

=====

8.
CoHgWAu | OQMD via LeMat-Bulk | PBE-GGA | relaxed; calculated density = 16.4 g/cm³
1.0
0.0000 3.1893 3.1893
3.1893 0.0000 3.1893
3.1893 3.1893 0.0000
Au Co Hg W
1 1 1 1
direct
0.7500 0.7500 0.7500
0.5000 0.5000 0.5000
0.2500 0.2500 0.2500
0.0000 0.0000 0.0000

=====

9.
CoHgWAu | OQMD via LeMat-Bulk | PBE-GGA | relaxed; calculated density = 16.3 g/cm³
1.0
0.4895 -2.6853 3.5982
-1.2451 1.4556 4.0900
-3.6379 -1.7631 2.0136
Au Co Hg W
1 1 1 1
direct
0.7500 0.7500 0.7500
0.2500 0.2500 0.2500
0.5000 0.5000 0.5000
0.0000 0.0000 0.0000

=====

10.
CoHgWAu | OQMD via LeMat-Bulk | PBE-GGA | relaxed; calculated density = 16.5 g/cm³
1.0
0.0000 3.1835 3.1835
3.1835 0.0000 3.1835
3.1835 3.1835 0.0000
Au Co Hg W
1 1 1 1
direct
0.7500 0.7500 0.7500
0.0000 0.0000 0.0000
0.5000 0.5000 0.5000
0.2500 0.2500 0.2500

=====

11.
ZnCoHgAu | OQMD via LeMat-Bulk | PBE-GGA | relaxed; calculated density = 13.4 g/cm³
1.0
0.0000 3.1872 3.1872
3.1872 0.0000 3.1872
3.1872 3.1872 0.0000
Au Co Hg Zn
1 1 1 1
direct
0.2500 0.2500 0.2500
0.7500 0.7500 0.7500
0.5000 0.5000 0.5000
0.0000 0.0000 0.0000

=====

12.
In2CoAu | OQMD via LeMat-Bulk | PBE-GGA | relaxed; calculated density = 10.8 g/cm³
1.0
0.0000 3.3374 3.3374
3.3374 0.0000 3.3374
3.3374 3.3374 0.0000
Au Co In
1 1 2
direct
0.5000 0.5000 0.5000
0.2500 0.2500 0.2500
0.0000 0.0000 0.0000
0.7500 0.7500 0.7500

=====

It is found that the electronic total energy values, taken in the order of the records, are -3.68, -3.97, -4.79, -4.77, -3.36, -2.98, -2.82, -5.16, -5.20, -5.16, -2.75, -3.66 eV per atom.
It is found that the V values, taken in the order of the records, are 109.53, 62.16, 65.79, 65.58, 74.67, 79.55, 75.22, 64.88, 65.14, 64.53, 64.75, 74.35 Å³/cell.